(1)
The following is a DFT calculation (PBE) of an optimized crystal structure of TlSi2TcCl.

Output
* E_form (uncorrected): 1.642 eV per atom
* crystal system: tetragonal
* space group: P4/mmm, No. 123

Cell lengths 5.1844, 5.3413, 5.1844 Å; angles 90.00, 90.00, 90.00 degrees
Positions (direct):
1 Si 0.0000 0.0000 0.5000
2 Si 0.5000 0.0000 0.0000
3 Tl 0.0000 0.0000 0.0000
4 Cl 0.0000 0.5000 0.0000
5 Tc 0.5000 0.5000 0.5000


(2)
The following is a DFT calculation (PBE) of an optimized crystal structure of SiTe3Cl.

Output
* E_form (uncorrected): 0.013 eV per atom
* crystal system: triclinic
* energy above the lowest structure with this stoichiometry: 0.000 eV/atom
* space group: P-1, No. 2

Cell lengths 6.9020, 5.9419, 8.4616 Å; angles 110.52, 90.09, 90.00 degrees
Positions (direct):
1 Si 0.5000 0.0000 0.0000
2 Si 0.0000 0.0000 0.0000
3 Cl 0.2495 0.3596 0.7258
4 Cl 0.7505 0.6404 0.2742
5 Te 0.7497 0.6578 0.8178
6 Te 0.2495 0.8704 0.7353
7 Te 0.2504 0.8349 0.1790
8 Te 0.7505 0.1296 0.2648
9 Te 0.7496 0.1651 0.8210
10 Te 0.2503 0.3422 0.1822


(3)
The following is a DFT calculation (PBE) of an optimized crystal structure of Si2TeCl.

Output
* E_form (uncorrected): 0.490 eV per atom
* crystal system: orthorhombic
* energy above the lowest structure with this stoichiometry: 0.692 eV/atom
* space group: Cmmm, No. 65

Cell lengths 3.2089, 3.2089, 9.1639 Å; angles 90.00, 90.00, 116.45 degrees
Positions (direct):
1 Si 0.0000 0.0000 0.9831
2 Si 0.0000 0.0000 0.5169
3 Cl 0.5000 0.5000 0.7500
4 Te 0.5000 0.5000 0.2500


(4)
The following is a DFT calculation (PBE) of an optimized crystal structure of Si2TeCl.

Output
* E_form (uncorrected): 0.502 eV per atom
* crystal system: tetragonal
* energy above the lowest structure with this stoichiometry: 0.704 eV/atom
* space group: P4/mmm, No. 123

Cell lengths 3.6320, 4.8751, 4.8751 Å; angles 90.00, 90.00, 90.00 degrees
Positions (direct):
1 Si 0.0000 0.0000 0.0000
2 Si 0.0000 0.5000 0.5000
3 Cl 0.5000 0.0000 0.5000
4 Te 0.5000 0.5000 0.0000